The following is a DFT calculation (GGA-PBE) of a relaxed structure of LiGaCu2.

abc: 4.144 4.144 7.296
angles: 90.00 90.00 120.00
Atoms (fractional coordinates):
Ga  0.667  0.333  0.750
Li  0.000  0.000  0.500
Ga  0.333  0.667  0.250
Cu  0.667  0.333  0.086
Li  0.000  0.000  0.000
Cu  0.333  0.667  0.914
Cu  0.667  0.333  0.414
Cu  0.333  0.667  0.586

Results
- symmetry = P6_3/mmc
- VASP energy (eV/atom) = -3.2485